Entry 1:
Compound: HoTiAs
Source: the Alexandria database
Functional: PBE
Structure: relaxed

Results
Density of states at the Fermi level ... 3.03 states/eV/f.u.
Electronic total energy ... -6.703 eV/atom

Structure (POSCAR):
```
HoTiAs
1.0
-0.261 -2.380 -3.169
3.906 -0.694 0.199
-1.288 -5.940 4.568
Ho As Ti
2 2 2
Direct
0.000 0.500 0.852
0.500 0.000 0.148
0.500 0.000 0.746
0.000 0.500 0.254
0.500 0.500 0.500
0.000 0.000 0.500
```

Entry 2:
Compound: HoTlAs
Source: the Alexandria database
Functional: PBE
Structure: relaxed

Results
Density of states at the Fermi level ... 2.15 states/eV/f.u.
Relative energy among the computed polymorphs ... 51 meV/atom

Structure (POSCAR):
```
HoTlAs
1.0
-1.543 -2.327 4.123
-2.713 -3.120 -2.776
5.478 -4.384 -0.425
As Tl Ho
2 2 2
Direct
0.000 0.500 0.297
0.500 0.000 0.703
0.500 0.000 0.132
0.000 0.500 0.868
0.000 0.000 0.500
0.500 0.500 0.500
```

Entry 3:
Compound: Ho2TlAs
Source: the Alexandria database
Functional: PBE
Structure: relaxed

Results
Density of states at the Fermi level ... 1.72 states/eV/f.u.
Relative energy among the computed polymorphs ... 0 meV/atom

Structure (POSCAR):
```
Ho2TlAs
1.0
3.977 0.000 0.000
-1.989 3.441 -0.002
0.000 -2.297 7.918
As Tl Ho
1 1 2
Direct
0.000 0.500 0.500
0.500 0.500 0.000
0.263 0.026 0.289
0.737 0.974 0.711
```

Entry 4:
Compound: HoTlAs
Source: the Alexandria database
Functional: PBE
Structure: relaxed

Results
Density of states at the Fermi level ... 1.64 states/eV/f.u.
Relative energy among the computed polymorphs ... 0 meV/atom

Structure (POSCAR):
```
HoTlAs
1.0
-0.907 -3.583 -1.461
3.582 -1.345 1.074
-3.471 0.900 5.352
Tl As Ho
1 1 1
Direct
0.992 0.992 0.985
0.745 0.745 0.490
0.262 0.262 0.525
```

Entry 5:
Compound: Ho2TlAs
Source: the Alexandria database
Functional: PBE
Structure: relaxed

Results
Density of states at the Fermi level ... 2.22 states/eV/f.u.
Relative energy among the computed polymorphs ... 56 meV/atom

Structure (POSCAR):
```
Ho2TlAs
1.0
3.936 0.000 0.000
1.968 3.409 0.000
1.968 1.136 8.161
Ho As Tl
2 1 1
Direct
0.264 0.264 0.207
0.068 0.068 0.795
0.667 0.667 0.998
0.500 0.500 0.501
```

Entry 6:
Compound: HoTmAs2
Source: the Alexandria database
Functional: PBE
Structure: relaxed

Results
Density of states at the Fermi level ... 0.50 states/eV/f.u.
Relative energy among the computed polymorphs ... 0 meV/atom

Structure (POSCAR):
```
HoTmAs2
1.0
5.314 0.000 -2.244
-0.948 5.229 -2.244
-0.147 -0.176 7.065
As Ho Tm
4 2 2
Direct
0.001 0.501 0.002
0.251 0.251 0.502
0.499 0.999 0.998
0.749 0.749 0.498
0.750 0.250 0.500
0.000 0.000 0.000
0.250 0.750 0.500
0.500 0.500 0.000
```

Entry 7:
Compound: HoTm3As4
Source: the Alexandria database
Functional: PBE
Structure: relaxed

Results
Density of states at the Fermi level ... 0.75 states/eV/f.u.
Relative energy among the computed polymorphs ... 0 meV/atom

Structure (POSCAR):
```
HoTm3As4
1.0
5.756 0.000 0.000
0.000 5.756 0.000
0.000 0.000 5.756
As Tm Ho
4 3 1
Direct
0.000 0.000 0.500
0.500 0.000 0.000
0.000 0.500 0.000
0.500 0.500 0.500
0.000 0.500 0.500
0.500 0.000 0.500
0.500 0.500 0.000
0.000 0.000 0.000
```

Entry 8:
Compound: HoTm2As3
Source: the Alexandria database
Functional: PBE
Structure: relaxed

Results
Density of states at the Fermi level ... 0.88 states/eV/f.u.
Electronic total energy ... -6.092 eV/atom

Structure (POSCAR):
```
HoTm2As3
1.0
-3.575 1.915 -0.428
-2.547 -5.025 -1.210
1.899 0.713 6.760
Tm As Ho
2 3 1
Direct
0.666 0.166 0.333
0.334 0.834 0.667
0.332 0.332 0.664
0.668 0.668 0.336
0.000 0.000 0.000
0.000 0.500 0.000
```

Entry 9:
Compound: Ho5TmAs6
Source: the Alexandria database
Functional: PBE
Structure: relaxed

Results
Density of states at the Fermi level ... 1.30 states/eV/f.u.
Electronic total energy ... -6.130 eV/atom

Structure (POSCAR):
```
Ho5TmAs6
1.0
-3.478 -2.791 -5.512
4.222 -4.586 -3.384
0.060 -6.831 1.900
Ho As Tm
5 6 1
Direct
0.000 0.667 0.667
0.500 0.500 0.000
0.500 0.833 0.334
0.000 0.333 0.333
0.500 0.167 0.666
0.751 0.083 0.332
0.751 0.415 0.668
0.249 0.585 0.332
0.249 0.917 0.668
0.249 0.249 0.000
0.751 0.751 0.000
0.000 0.000 0.000
```

Entry 10:
Compound: HoTm3As4
Source: the Alexandria database
Functional: PBE
Structure: relaxed

Results
Density of states at the Fermi level ... 1.12 states/eV/f.u.
Relative energy among the computed polymorphs ... 3 meV/atom

Structure (POSCAR):
```
HoTm3As4
1.0
4.073 0.000 0.000
0.000 7.052 -0.067
0.000 -2.287 6.671
Tm As Ho
3 4 1
Direct
0.500 0.500 0.500
0.000 0.500 0.000
0.000 0.000 0.500
0.500 0.749 0.251
0.000 0.252 0.252
0.500 0.251 0.749
0.000 0.748 0.748
0.500 0.000 0.000
```

Entry 11:
Compound: Ho2TmAs
Source: the Alexandria database
Functional: PBE
Structure: relaxed

Results
Density of states at the Fermi level ... 4.70 states/eV/f.u.
Electronic total energy ... -5.139 eV/atom

Structure (POSCAR):
```
Ho2TmAs
1.0
-0.928 -2.580 -2.662
-1.411 -3.396 1.039
-9.441 1.497 -0.904
As Ho Tm
1 2 1
Direct
0.000 0.000 0.000
0.271 0.271 0.186
0.729 0.729 0.814
0.500 0.500 0.500
```

Entry 12:
Compound: Ho3TmAs4
Source: the Alexandria database
Functional: PBE
Structure: relaxed

Results
Density of states at the Fermi level ... 0.76 states/eV/f.u.
Relative energy among the computed polymorphs ... 0 meV/atom

Structure (POSCAR):
```
Ho3TmAs4
1.0
-4.501 2.011 -3.021
1.045 -3.891 -4.147
-3.475 -3.774 2.666
Ho As Tm
3 4 1
Direct
0.500 0.500 0.000
0.500 0.000 0.500
0.000 0.500 0.500
0.500 0.500 0.500
0.000 0.500 0.000
0.000 0.000 0.500
0.500 0.000 0.000
0.000 0.000 0.000
```